<one>
Density functional theory data (PBE) for crystalline Pm4NdN4 at its relaxed geometry.

The space group is I-42m (No. 121) and the conventional cell measures 5.942, 5.942 and 11.069 Å, with angles of 90.00, 90.00 and 90.00 degrees. The asymmetric unit holds Pm at (0.000, 0.000, 0.213), Pm at (0.000, 0.500, 0.000), Nd at (0.000, 0.000, 0.500) and N at (0.242, 0.242, 0.619).

***

<two>
Density functional theory data (PBE) for crystalline Pm4NdN4 at its relaxed geometry.

The space group is P-1 (No. 2) and the conventional cell measures 5.117, 6.303 and 6.303 Å, with angles of 80.56, 66.12 and 66.10 degrees. The asymmetric unit holds Pm at (0.110, 0.204, 0.076), Pm at (0.314, 0.576, 0.296), Nd at (0.500, 0.000, 0.500), N at (0.200, 0.397, 0.702) and N at (0.402, 0.798, 0.896).

***

Stability, highest: <two>

***

<one>
Density functional theory data (PBE) for crystalline PrNdN at its relaxed geometry.

The space group is P2_1/m (No. 11) and the conventional cell measures 3.631, 5.255 and 7.748 Å, with angles of 90.00, 90.22 and 90.00 degrees. The asymmetric unit holds Pr at (0.249, 0.250, 0.395), Nd at (0.252, 0.250, 0.842) and N at (0.249, 0.750, 0.371).

***

<two>
Density functional theory data (PBE) for crystalline PrNdN at its relaxed geometry.

The space group is Pmmn (No. 59, origin choice 2) and the conventional cell measures 3.626, 5.198 and 7.825 Å, with angles of 90.00, 90.00 and 90.00 degrees. The asymmetric unit holds Pr at (0.250, 0.250, 0.160), Nd at (0.250, 0.250, 0.603) and N at (0.250, 0.750, 0.623).

***

Stability, highest: <two>

***

<one>
Density functional theory data (PBE) for crystalline PrNdN at its relaxed geometry.

The space group is P3m1 (No. 156) and the conventional cell measures 3.6509, 3.6509 and 6.4820 Å, with angles of 90.00, 90.00 and 120.00 degrees. The asymmetric unit holds Pr at (0.0000, 0.0000, 0.0000), Nd at (0.6667, 0.3333, 0.4287) and N at (0.3333, 0.6667, 0.2202).

***

<two>
Density functional theory data (PBE) for crystalline PrNdN at its relaxed geometry.

The space group is Cmc2_1 (No. 36) and the conventional cell measures 3.853, 13.702 and 6.106 Å, with angles of 90.00, 90.00 and 90.00 degrees. The asymmetric unit holds Pr at (0.000, 0.193, 0.000), Nd at (0.000, 0.454, 0.978) and N at (0.000, 0.333, 0.727).

***

<three>
Density functional theory data (PBE) for crystalline PrNdN at its relaxed geometry.

The space group is I4mm (No. 107) and the conventional cell measures 4.864, 4.864 and 7.986 Å, with angles of 90.00, 90.00 and 90.00 degrees. The asymmetric unit holds Pr at (0.000, 0.000, 0.000), Nd at (0.000, 0.000, 0.467) and N at (0.000, 0.000, 0.732).

***

Stability, highest: <one>